[1]
IrWS2N, optimized geometry, DFT PBE; energy relative to the elements, uncorrected = 1.0798 eV per atom; electronic total energy = -6.5991 eV per atom
1.0
4.826 0.000 0.000
0.000 4.826 0.000
0.000 0.000 3.612
Ir W S N
1 1 2 1
direct
0.000 0.000 0.000
0.500 0.500 0.500
0.000 0.500 0.000
0.500 0.000 0.000
0.000 0.000 0.500

***

[2]
Mg2AgBiH, optimized geometry, DFT PBE; electronic total energy = -1.9214 eV per atom
1.0
5.752 0.000 0.000
0.000 5.752 0.000
0.000 0.000 5.404
Mg Ag Bi H
2 1 1 1
direct
0.000 0.500 0.000
0.500 0.000 0.000
0.000 0.000 0.500
0.000 0.000 0.000
0.500 0.500 0.500

***

[3]
Ho2PaSe4, optimized geometry, DFT PBE; energy relative to the elements, uncorrected = -1.5840 eV per atom; electronic total energy = -6.2396 eV per atom
1.0
1.983 -6.739 0.000
1.983 6.739 0.000
0.000 0.000 13.585
Ho Pa Se
4 2 8
direct
0.135 0.865 0.566
0.135 0.865 0.934
0.865 0.135 0.066
0.865 0.135 0.434
0.377 0.623 0.750
0.623 0.377 0.250
0.035 0.965 0.750
0.226 0.774 0.125
0.226 0.774 0.375
0.500 0.500 0.000
0.500 0.500 0.500
0.774 0.226 0.625
0.774 0.226 0.875
0.965 0.035 0.250